(1)
Below is a geometry-optimized FePd6Pt structure, with properties calculated at the PBE level.

Computed properties:
The value obtained for the density is 12.20 g/cm³. Its calculated formation energy is -0.4 eV/f.u. Its total moment is 0.704 μB per atom.

Unit cell a=7.8724 b=7.8798 c=3.9031 alpha=90.00 beta=90.00 gamma=90.00
Positions (direct):
1 Fe 0.0000 0.0000 0.0000
2 Fe 0.5000 0.5000 0.0000
3 Pd 0.0000 0.2456 0.5000
4 Pd 0.0000 0.7544 0.5000
5 Pd 0.2451 0.0000 0.5000
6 Pd 0.2500 0.2500 0.0000
7 Pd 0.2500 0.7500 0.0000
8 Pd 0.2549 0.5000 0.5000
9 Pd 0.5000 0.2544 0.5000
10 Pd 0.5000 0.7456 0.5000
11 Pd 0.7451 0.5000 0.5000
12 Pd 0.7500 0.2500 0.0000
13 Pd 0.7500 0.7500 0.0000
14 Pd 0.7549 0.0000 0.5000
15 Pt 0.0000 0.5000 0.0000
16 Pt 0.5000 0.0000 0.0000

***

(2)
Below is a geometry-optimized Pm2Nd4Er5 structure, with properties calculated at the PBE level.

Computed properties:
The value obtained for the density is 7.77 g/cm³. Its calculated formation energy is 1.1 eV/f.u. Its total moment is 0.000 μB per atom.

Unit cell a=10.2195 b=10.2195 c=6.3860 alpha=94.40 beta=94.40 gamma=33.21
Positions (direct):
1 Pm 0.0989 0.0989 0.0451
2 Pm 0.9011 0.9011 0.9549
3 Nd 0.1938 0.1938 0.5729
4 Nd 0.4652 0.4652 0.2333
5 Nd 0.5348 0.5348 0.7667
6 Nd 0.8062 0.8062 0.4271
7 Er 0.0000 0.0000 0.5000
8 Er 0.2859 0.2859 0.1063
9 Er 0.3689 0.3689 0.6454
10 Er 0.6311 0.6311 0.3546
11 Er 0.7141 0.7141 0.8937

***

(3)
Below is a geometry-optimized AcPrTl structure, with properties calculated at the PBE level.

Computed properties:
The value obtained for the density is 7.15 g/cm³. Its calculated formation energy is 0.3 eV/f.u. Its total moment is 0.003 μB per atom.

Unit cell a=11.2236 b=11.9299 c=3.9686 alpha=90.00 beta=90.00 gamma=90.00
Positions (direct):
1 Ac 0.0000 0.2237 0.0000
2 Ac 0.0000 0.7763 0.0000
3 Ac 0.5000 0.2763 0.0000
4 Ac 0.5000 0.7237 0.0000
5 Pr 0.2207 0.5000 0.5000
6 Pr 0.2793 0.0000 0.5000
7 Pr 0.7207 0.0000 0.5000
8 Pr 0.7793 0.5000 0.5000
9 Tl 0.0000 0.0000 0.5000
10 Tl 0.0000 0.5000 0.0000
11 Tl 0.5000 0.0000 0.0000
12 Tl 0.5000 0.5000 0.5000

***

(4)
Below is a geometry-optimized H24PdC8N2Cl4 structure, with properties calculated at the PBE level.

Computed properties:
The value obtained for the density is 1.40 g/cm³. Its total moment is 0.004 μB per atom.

Unit cell a=8.9077 b=8.9077 c=11.8757 alpha=90.00 beta=90.00 gamma=90.00
Positions (direct):
1 H 0.0457 0.3417 0.1216
2 H 0.0457 0.3417 0.8784
3 H 0.0762 0.7242 0.2312
4 H 0.0762 0.7242 0.7688
5 H 0.0924 0.3536 0.3721
6 H 0.0924 0.3536 0.6279
7 H 0.1464 0.5924 0.1279
8 H 0.1464 0.5924 0.8721
9 H 0.1583 0.5457 0.3784
10 H 0.1583 0.5457 0.6216
11 H 0.2242 0.4238 0.2688
12 H 0.2242 0.4238 0.7312
13 H 0.2758 0.9238 0.2312
14 H 0.2758 0.9238 0.7688
15 H 0.3417 0.0457 0.1216
16 H 0.3417 0.0457 0.8784
17 H 0.3536 0.0924 0.3721
18 H 0.3536 0.0924 0.6279
19 H 0.4076 0.8536 0.1279
20 H 0.4076 0.8536 0.8721
21 H 0.4238 0.2242 0.2688
22 H 0.4238 0.2242 0.7312
23 H 0.4543 0.8417 0.3784
24 H 0.4543 0.8417 0.6216
25 H 0.5457 0.1583 0.3784
26 H 0.5457 0.1583 0.6216
27 H 0.5762 0.7758 0.2688
28 H 0.5762 0.7758 0.7312
29 H 0.5924 0.1464 0.1279
30 H 0.5924 0.1464 0.8721
31 H 0.6464 0.9076 0.3721
32 H 0.6464 0.9076 0.6279
33 H 0.6583 0.9543 0.1216
34 H 0.6583 0.9543 0.8784
35 H 0.7242 0.0762 0.2312
36 H 0.7242 0.0762 0.7688
37 H 0.7758 0.5762 0.2688
38 H 0.7758 0.5762 0.7312
39 H 0.8417 0.4543 0.3784
40 H 0.8417 0.4543 0.6216
41 H 0.8536 0.4076 0.1279
42 H 0.8536 0.4076 0.8721
43 H 0.9076 0.6464 0.3721
44 H 0.9076 0.6464 0.6279
45 H 0.9238 0.2758 0.2312
46 H 0.9238 0.2758 0.7688
47 H 0.9543 0.6583 0.1216
48 H 0.9543 0.6583 0.8784
49 Pd 0.0000 0.0000 0.5000
50 Pd 0.5000 0.5000 0.0000
51 C 0.0485 0.6287 0.1769
52 C 0.0485 0.6287 0.8231
53 C 0.1287 0.4515 0.3231
54 C 0.1287 0.4515 0.6769
55 C 0.3713 0.9515 0.1769
56 C 0.3713 0.9515 0.8231
57 C 0.4515 0.1287 0.3231
58 C 0.4515 0.1287 0.6769
59 C 0.5485 0.8713 0.3231
60 C 0.5485 0.8713 0.6769
61 C 0.6287 0.0485 0.1769
62 C 0.6287 0.0485 0.8231
63 C 0.8713 0.5485 0.3231
64 C 0.8713 0.5485 0.6769
65 C 0.9515 0.3713 0.1769
66 C 0.9515 0.3713 0.8231
67 N 0.0000 0.5000 0.2500
68 N 0.0000 0.5000 0.7500
69 N 0.5000 0.0000 0.2500
70 N 0.5000 0.0000 0.7500
71 Cl 0.0000 0.0000 0.3047
72 Cl 0.0000 0.0000 0.6953
73 Cl 0.1863 0.8137 0.5000
74 Cl 0.3137 0.3137 0.0000
75 Cl 0.5000 0.5000 0.1953
76 Cl 0.5000 0.5000 0.8047
77 Cl 0.6863 0.6863 0.0000
78 Cl 0.8137 0.1863 0.5000

***

Per-record energy, hartree per atom: -0.212, -0.168, -0.134, -0.183